[1]
9
Lattice="-0.4820 -0.6167 -2.8499 -4.6994 -6.8126 2.6598 -3.2312 9.5022 -0.5018" Properties=species:S:1:pos:R:3 comment="AlS6F2, relaxed, DFT PBE" e_form_raw_mev_per_atom=-927.2 e_tot_ev_per_atom=-4.51 pbc="T T T"
Al 0.0000 0.0000 0.0000
S -2.9197 -1.6482 0.8492
S -5.4930 3.7211 -1.5411
S -6.0386 1.8078 -1.0349
S -3.5799 3.7587 -1.8748
S -4.8328 -1.6858 1.1829
S -2.3741 0.2651 0.3430
F -4.8999 -5.9600 0.9774
F -3.5128 8.0328 -1.6693

[2]
18
Lattice="-1.8701 1.8581 -6.0476 -0.3898 -9.9732 0.0409 -8.1276 0.7864 5.7395" Properties=species:S:1:pos:R:3 comment="FeCo2Br6, relaxed, DFT PBE" e_form_raw_mev_per_atom=-323.7 e_tot_ev_per_atom=-3.96 pbc="T T T"
Fe -2.4985 -7.2265 -0.2623
Fe -7.8889 -0.1022 -0.0049
Co -1.9692 -3.1235 0.3517
Co -6.2662 -6.8264 1.5086
Co -8.4182 -4.2051 -0.6189
Co -4.1213 -0.5023 -1.7758
Br -3.7903 -1.5628 0.3510
Br -6.7413 -5.1942 3.2004
Br -6.5971 -5.7659 -0.6182
Br -3.6461 -2.1345 -3.4676
Br -6.4410 0.1784 -1.9121
Br -7.9200 -2.3528 0.8589
Br -3.9464 -7.5071 1.6449
Br -2.4674 -4.9758 -1.1261
Br -8.1685 -1.1940 5.2107
Br -7.2367 1.2137 1.9300
Br -2.2189 -6.1347 -5.4779
Br -3.1508 -8.5424 -2.1972

[3]
4
Lattice="5.3403 0.0000 0.0000 2.6701 4.6248 0.0000 2.6701 1.5416 4.3603" Properties=species:S:1:pos:R:3 comment="BaPmPtAu, relaxed, DFT PBE" formation_enthalpy_0k_ev_per_fu=-2.64 e_tot_ev_per_atom=-4.66 pbc="T T T"
Au 2.6701 1.5416 1.0901
Ba 5.3403 3.0832 2.1802
Pt 8.0104 4.6248 3.2702
Pm 0.0000 0.0000 0.0000